Lu2Mo4Pb3N3 after structural relaxation, computed with PBE.

```
Lu2Mo4Pb3N3
1.0
-0.005 3.178 -4.877
-4.823 2.833 -1.611
5.602 9.089 9.222
Pb Lu Mo N
6 4 8 6
Cartesian
0.380 4.256 -0.071 Pb
2.181 8.730 5.218 Pb
3.933 9.976 2.218 Pb
-1.408 6.371 -2.484 Pb
-3.160 5.124 0.516 Pb
0.394 10.844 2.805 Pb
2.815 11.669 4.477 Lu
-2.042 3.432 -1.743 Lu
1.599 8.036 2.299 Lu
-0.825 7.064 0.435 Lu
1.213 13.868 2.556 Mo
0.905 5.206 2.850 Mo
-0.439 1.232 0.178 Mo
-2.233 9.277 -1.619 Mo
-0.132 9.894 -0.116 Mo
-3.826 5.286 -4.121 Mo
3.006 5.823 4.353 Mo
4.600 9.815 6.855 Mo
1.170 8.120 0.051 N
2.798 6.134 2.172 N
4.748 11.692 5.705 N
-2.412 1.417 -0.805 N
-0.397 6.980 2.683 N
-3.975 3.408 -2.971 N
```

Summary:
Its volume is 404 Å³/cell. The crystal system is monoclinic.

---

Lu3Re3Mo2N12 after structural relaxation, computed with PBE.

```
Lu3Re3Mo2N12
1.0
-6.276 6.276 6.276
6.276 -6.276 6.276
6.276 6.276 -6.276
Mo N Lu Re
8 48 12 12
Cartesian
0.000 0.000 0.000 Mo
6.276 0.000 0.000 Mo
0.000 0.000 6.276 Mo
-3.138 3.138 3.138 Mo
3.138 3.138 3.138 Mo
3.138 -3.138 3.138 Mo
0.000 6.276 0.000 Mo
3.138 3.138 -3.138 Mo
8.175 0.392 0.709 N
2.429 2.746 7.515 N
0.392 5.567 1.899 N
1.239 2.429 3.530 N
6.985 4.377 0.392 N
-0.709 1.899 5.885 N
0.709 1.899 -0.392 N
1.899 -0.392 0.709 N
0.392 6.985 4.377 N
3.847 3.530 -1.239 N
5.885 -0.709 1.899 N
2.746 7.515 2.429 N
4.377 0.392 6.985 N
2.429 9.806 -1.239 N
-1.239 3.847 3.530 N
-1.239 8.706 2.746 N
-1.899 5.885 5.567 N
2.746 5.037 3.847 N
5.885 5.567 -1.899 N
9.806 -1.239 2.429 N
5.037 3.847 2.746 N
5.567 1.899 0.392 N
1.899 5.885 -0.709 N
7.515 -2.429 3.530 N
7.516 3.847 -3.530 N
5.567 -1.899 5.885 N
3.847 2.746 5.037 N
3.530 7.515 -2.429 N
-3.530 7.516 3.847 N
3.530 -1.239 3.847 N
7.515 2.429 2.746 N
-2.429 3.530 7.515 N
-1.239 2.429 9.806 N
3.530 1.239 2.429 N
4.377 5.885 0.709 N
1.899 0.392 5.567 N
2.746 -1.239 8.706 N
5.567 4.377 6.668 N
0.709 4.377 5.885 N
0.709 8.175 0.392 N
-0.392 0.709 1.899 N
3.847 -3.530 7.516 N
8.706 2.746 -1.239 N
6.668 5.567 4.377 N
2.429 3.530 1.239 N
4.377 6.668 5.567 N
0.392 0.709 8.175 N
5.885 0.709 4.377 N
6.276 3.138 -1.569 Lu
3.138 7.845 0.000 Lu
3.138 1.569 0.000 Lu
1.569 0.000 3.138 Lu
7.845 0.000 3.138 Lu
3.138 -1.569 6.276 Lu
-1.569 6.276 3.138 Lu
0.000 3.138 1.569 Lu
0.000 3.138 7.845 Lu
3.138 4.707 6.276 Lu
6.276 3.138 4.707 Lu
4.707 6.276 3.138 Lu
0.000 3.138 4.707 Re
1.569 0.000 9.415 Re
3.138 1.569 6.276 Re
-3.138 4.707 6.276 Re
6.276 3.138 1.569 Re
4.707 0.000 3.138 Re
3.138 4.707 0.000 Re
6.276 -3.138 4.707 Re
0.000 9.415 1.569 Re
4.707 6.276 -3.138 Re
9.415 1.569 0.000 Re
1.569 6.276 3.138 Re
```

Summary:
Its volume is 989 Å³/cell. The crystal system is cubic.

---

Lu4Mo2S3N3 after structural relaxation, computed with PBE.

```
Lu4Mo2S3N3
1.0
5.064 -2.941 0.000
5.064 2.941 0.000
-3.184 0.000 11.917
Mo Lu N S
4 8 6 6
Cartesian
4.345 -0.406 1.134 Mo
2.599 0.406 10.783 Mo
2.753 0.406 7.093 Mo
4.191 -0.406 4.824 Mo
5.958 0.456 7.177 Lu
-0.605 0.456 10.699 Lu
0.849 -0.547 1.219 Lu
7.549 -0.456 1.218 Lu
0.987 -0.456 4.740 Lu
-0.743 0.547 7.177 Lu
6.095 0.547 10.698 Lu
7.687 -0.547 4.739 Lu
4.358 1.549 5.961 N
0.940 1.470 5.958 N
0.994 1.549 11.914 N
2.532 -1.470 0.000 N
2.586 -1.549 5.956 N
5.950 -1.549 0.003 N
1.147 -0.419 8.899 S
5.797 0.419 3.018 S
4.268 -2.262 2.979 S
4.205 -0.419 8.976 S
2.676 2.262 8.938 S
2.739 0.419 2.940 S
```

Summary:
Its volume is 355 Å³/cell. The crystal system is monoclinic.

---

Lu2Mo4S3N3 after structural relaxation, computed with PBE.

```
Lu2Mo4S3N3
1.0
-3.756 -3.605 2.469
-1.697 -4.749 -2.788
11.087 -2.642 4.917
Lu Mo S N
4 8 6 6
Cartesian
4.414 -5.500 2.421 Lu
1.219 -5.495 2.177 Lu
7.091 -6.999 3.796 Lu
-1.458 -3.997 0.802 Lu
6.244 -2.478 2.599 Mo
2.152 -8.338 2.225 Mo
-0.611 -8.518 1.998 Mo
3.481 -2.658 2.373 Mo
0.450 -1.017 0.783 Mo
-3.673 -6.861 0.485 Mo
9.306 -4.135 4.113 Mo
5.183 -9.978 3.815 Mo
1.136 -3.462 0.385 S
-0.516 -6.508 0.400 S
4.497 -7.534 4.213 S
-0.839 -4.347 3.326 S
6.149 -4.488 4.198 S
6.472 -6.649 1.272 S
9.230 -6.378 3.469 N
2.687 -4.502 3.565 N
-3.597 -4.618 1.129 N
2.947 -6.494 1.033 N
4.695 -3.695 1.065 N
-1.878 -1.803 1.234 N
```

Summary:
Its volume is 338 Å³/cell. The crystal system is monoclinic.

---

Lu2Si3Mo4N3 after structural relaxation, computed with PBE.

```
Lu2Si3Mo4N3
1.0
4.681 -2.719 0.000
4.681 2.719 0.000
-3.186 0.000 12.874
Si Lu N Mo
6 4 6 8
Cartesian
4.526 -0.840 9.650 Si
3.884 2.322 3.219 Si
0.057 -0.840 9.661 Si
1.649 0.840 3.224 Si
2.291 -2.322 9.656 Si
6.119 0.840 3.213 Si
3.899 -0.448 1.473 Lu
2.276 0.448 11.401 Lu
2.306 0.448 7.910 Lu
3.869 -0.448 4.964 Lu
3.963 1.255 0.004 N
0.747 1.360 6.437 N
2.340 -1.360 0.000 N
2.213 -1.255 12.870 N
2.370 -1.255 6.441 N
3.806 1.255 6.433 N
-0.786 0.367 7.514 Mo
7.097 -0.479 1.071 Mo
0.807 -0.367 1.077 Mo
0.672 -0.479 5.366 Mo
-0.921 0.479 11.804 Mo
6.962 -0.367 5.361 Mo
5.369 0.367 11.798 Mo
5.504 0.479 7.508 Mo
```

Summary:
Its volume is 328 Å³/cell. The crystal system is monoclinic.

---

Lu3Ta3Mo2N12 after structural relaxation, computed with PBE.

```
Lu3Ta3Mo2N12
1.0
10.399 2.625 -2.266
-0.795 -3.045 10.500
-3.170 -8.274 -6.454
N Mo Lu Ta
48 8 12 12
Cartesian
6.674 -7.163 0.461 N
4.163 -4.387 5.767 N
8.413 -0.380 -3.851 N
7.303 -3.621 -1.842 N
5.871 -7.223 3.068 N
7.540 -2.844 -4.631 N
5.328 -5.991 -2.773 N
-0.414 -5.854 0.741 N
6.520 -0.920 4.946 N
-2.842 -8.441 -2.537 N
-2.130 -9.047 0.027 N
-0.868 -5.074 3.622 N
4.948 -4.880 -0.038 N
0.614 -8.314 -0.584 N
5.821 -0.380 2.364 N
4.490 -8.631 1.183 N
-1.105 -5.850 6.411 N
1.107 -2.703 4.553 N
2.774 -6.328 0.750 N
3.880 -6.535 -6.855 N
-0.085 -7.774 -3.166 N
8.243 -1.180 -1.063 N
-1.808 -7.514 2.843 N
1.933 -5.809 4.310 N
-0.190 -5.011 -2.030 N
2.236 -3.796 -0.806 N
3.873 -2.016 3.991 N
1.944 -0.063 0.597 N
-0.239 -1.531 1.319 N
1.708 -4.375 6.958 N
0.563 -1.471 -1.288 N
4.727 -4.319 -5.178 N
5.032 -2.218 7.493 N
6.849 -2.840 1.039 N
5.305 -0.692 -0.802 N
2.555 -2.160 8.635 N
6.625 -3.683 3.810 N
2.562 -6.678 -2.211 N
1.130 -8.002 2.582 N
-1.979 -8.315 5.631 N
8.565 0.353 1.753 N
3.661 -2.366 1.030 N
1.403 -6.477 -5.713 N
4.502 -2.886 -2.530 N
9.277 -0.253 4.317 N
4.199 -4.898 2.586 N
1.487 -3.814 1.818 N
2.272 -4.307 -3.987 N
4.802 -0.210 4.117 Mo
-1.585 -4.137 -3.227 Mo
3.615 -2.824 -4.360 Mo
-1.982 -5.660 2.023 Mo
-0.397 -1.523 5.250 Mo
0.000 0.000 0.000 Mo
3.217 -4.347 0.890 Mo
5.199 1.313 -1.133 Mo
7.810 -1.675 2.966 Lu
2.907 -2.334 6.219 Lu
1.906 -1.520 2.564 Lu
6.522 -5.158 1.858 Lu
4.529 -7.174 -0.784 Lu
3.008 -1.465 -1.151 Lu
3.427 -7.230 2.931 Lu
6.511 -1.515 -2.807 Lu
-0.076 -7.180 4.587 Lu
-1.375 -7.020 -1.186 Lu
-0.087 -3.536 -0.078 Lu
3.527 -6.360 -4.439 Lu
8.504 0.502 -0.165 Ta
-2.069 -9.196 1.945 Ta
6.623 -4.289 -5.511 Ta
4.715 -3.746 4.039 Ta
1.026 -7.125 0.872 Ta
0.915 -4.350 3.576 Ta
5.520 -4.344 -1.796 Ta
1.720 -4.948 -2.259 Ta
-0.188 -4.405 7.291 Ta
6.708 -1.730 6.681 Ta
5.409 -1.570 0.908 Ta
-0.273 -6.964 -4.901 Ta
```

Summary:
Its volume is 1014 Å³/cell. The crystal system is cubic.

---

no.,electronic total energy (eV per atom)
1,-7.674
2,-9.172
3,-7.771
4,-8.271
5,-8.425
6,-9.406